# Rb2Ag2SnP3Se9 | Alexandria via LeMat-Bulk | PBE | optimized geometry
# Formation energy without anion corrections: -0.436 eV per atom
data_Rb2Ag2SnP3Se9
_chemical_formula_sum 'Rb8 Ag8 Sn4 P12 Se36'
_space_group_name_H-M_alt 'P 1 21/c 1'
_space_group_IT_number 14
_cell_length_a 11.541
_cell_length_b 7.903
_cell_length_c 24.142
_cell_angle_alpha 90.00
_cell_angle_beta 112.87
_cell_angle_gamma 90.00
loop_
_space_group_symop_operation_xyz
'x,y,z'
'-x,-y,-z'
'-x,y+1/2,-z+1/2'
'x,-y+1/2,z+1/2'
loop_
_atom_site_label
_atom_site_fract_x
_atom_site_fract_y
_atom_site_fract_z
Rb1 0.073 0.080 0.322
Rb2 0.262 0.571 0.504
Ag1 0.421 0.570 0.849
Ag2 0.445 0.192 0.258
Sn1 0.304 0.056 0.618
P1 0.112 0.119 0.157
P2 0.235 0.623 0.679
P3 0.434 0.115 0.491
Se1 0.071 0.544 0.348
Se2 0.113 0.214 0.069
Se3 0.132 0.711 0.100
Se4 0.209 0.189 0.726
Se5 0.238 0.730 0.763
Se6 0.253 0.018 0.493
Se7 0.408 0.218 0.402
Se8 0.425 0.550 0.681
Se9 0.477 0.699 0.437


# RbAg2SnP | Alexandria via LeMat-Bulk | PBE | optimized geometry
# Formation energy: 0.27 eV/atom
data_RbAg2SnP
_chemical_formula_sum 'Rb1 Ag2 Sn1 P1'
_space_group_name_H-M_alt 'P 4/m m m'
_space_group_IT_number 123
_space_group_name_Hall '-P 4 2'
_cell_length_a 5.340
_cell_length_b 5.340
_cell_length_c 5.348
_cell_angle_alpha 90.00
_cell_angle_beta 90.00
_cell_angle_gamma 90.00
loop_
_atom_site_label
_atom_site_fract_x
_atom_site_fract_y
_atom_site_fract_z
Rb1 0.000 0.000 0.000
Ag1 0.000 0.500 0.500
Sn1 0.500 0.500 0.500
P1 0.500 0.500 0.000


# RbAg2Te4P | Alexandria via LeMat-Bulk | PBE | optimized geometry
# Formation energy without anion corrections: -0.188 eV per atom
data_RbAg2Te4P
_chemical_formula_sum 'Rb2 Ag4 Te8 P2'
_space_group_name_H-M_alt 'I 2 2 2'
_space_group_IT_number 23
_cell_length_a 7.260
_cell_length_b 8.257
_cell_length_c 9.340
_cell_angle_alpha 90.00
_cell_angle_beta 90.00
_cell_angle_gamma 90.00
loop_
_space_group_symop_operation_xyz
'x,y,z'
'-x,-y,z'
'x,-y,-z'
'-x,y,-z'
'x+1/2,y+1/2,z+1/2'
'-x+1/2,-y+1/2,z+1/2'
'x+1/2,-y+1/2,-z+1/2'
'-x+1/2,y+1/2,-z+1/2'
loop_
_atom_site_label
_atom_site_fract_x
_atom_site_fract_y
_atom_site_fract_z
Rb1 0.000 0.000 0.000
Ag1 0.000 0.500 0.171
Te1 0.191 0.182 0.347
P1 0.000 0.000 0.500


# Rb2ZnAgP2 | Alexandria via LeMat-Bulk | PBE | optimized geometry
# Formation energy: -0.20 eV/atom
data_Rb2ZnAgP2
_chemical_formula_sum 'Rb8 Zn4 Ag4 P8'
_space_group_name_H-M_alt 'I b a m'
_space_group_IT_number 72
_space_group_name_Hall '-I 2 2c'
_cell_length_a 6.263
_cell_length_b 16.216
_cell_length_c 6.195
_cell_angle_alpha 90.00
_cell_angle_beta 90.00
_cell_angle_gamma 90.00
loop_
_atom_site_label
_atom_site_fract_x
_atom_site_fract_y
_atom_site_fract_z
Rb1 0.241 0.170 0.000
Zn1 0.000 0.500 0.250
Ag1 0.000 0.000 0.250
P1 0.229 0.416 0.000


| no. | Fermi-level density of states (states/eV per atom) | final energy (eV/cell) |
| --- | --- | --- |
| 1 | 0.000 | -266.56 |
| 2 | 0.869 | -14.74 |
| 3 | 0.051 | -52.30 |
| 4 | 0.834 | -72.43 |